# 1
CsRbNa4: optimized geometry, GGA-PBE.

Geometry as CIF:
```
data_CsRbNa4
_chemical_formula_sum 'Cs4 Rb4 Na16'
_cell_length_a 10.905
_cell_length_b 10.905
_cell_length_c 10.905
_cell_angle_alpha 90.00
_cell_angle_beta 90.00
_cell_angle_gamma 90.00
_space_group_name_H-M_alt 'F -4 3 m'
_space_group_IT_number 216
_space_group_name_Hall 'F -4 2 3'
loop_
_atom_site_label
_atom_site_fract_x
_atom_site_fract_y
_atom_site_fract_z
Cs1 0.000 0.000 0.000
Rb1 0.250 0.250 0.750
Na1 0.125 0.125 0.375
```

---

# 2
# Sc4As2PSe (GGA-PBE, optimized geometry)
data_Sc4As2PSe
_chemical_formula_sum 'Sc4 As2 P1 Se1'
_cell_length_a 6.651
_cell_length_b 3.844
_cell_length_c 6.663
_cell_angle_alpha 90.00
_cell_angle_beta 109.32
_cell_angle_gamma 90.00
_space_group_name_H-M_alt 'P 1 2/m 1'
_space_group_IT_number 10
_space_group_name_Hall '-P 2y'
loop_
_atom_site_label
_atom_site_fract_x
_atom_site_fract_y
_atom_site_fract_z
Sc1 0.246 0.000 0.241
Sc2 0.253 0.500 0.760
As1 0.500 0.000 0.000
As2 0.500 0.500 0.500
P1 0.000 0.500 0.000
Se1 0.000 0.000 0.500
# Formation energy (no corrections), eV/atom: -1.51

---

# 3
Cs12H4Pb: optimized geometry, GGA-PBE.

Geometry as CIF:
```
data_Cs12H4Pb
_chemical_formula_sum 'Cs24 H8 Pb2'
_cell_length_a 12.512
_cell_length_b 12.512
_cell_length_c 12.512
_cell_angle_alpha 90.00
_cell_angle_beta 90.00
_cell_angle_gamma 90.00
_space_group_name_H-M_alt 'I m -3'
_space_group_IT_number 204
_space_group_name_Hall '-I 2 2 3'
loop_
_atom_site_label
_atom_site_fract_x
_atom_site_fract_y
_atom_site_fract_z
Cs1 0.000 0.282 0.193
H1 0.250 0.250 0.250
Pb1 0.000 0.000 0.000
```

---

# 4
# MgMoCl (GGA-PBE, optimized geometry)
data_MgMoCl
_chemical_formula_sum 'Mg1 Mo1 Cl1'
_cell_length_a 3.0867
_cell_length_b 3.0867
_cell_length_c 6.5081
_cell_angle_alpha 90.00
_cell_angle_beta 90.00
_cell_angle_gamma 120.00
_space_group_name_H-M_alt 'P 3 m 1'
_space_group_IT_number 156
_space_group_name_Hall 'P 3 -2"'
loop_
_atom_site_label
_atom_site_fract_x
_atom_site_fract_y
_atom_site_fract_z
Mg1 0.0000 0.0000 0.0000
Mo1 0.6667 0.3333 0.3392
Cl1 0.3333 0.6667 0.6152
# Formation energy (no corrections), eV/atom: 0.03
# Polymorph energy (0 for the lowest one), meV per atom: 0

---

# 5
# Tb2PrLu (GGA-PBE, optimized geometry)
data_Tb2PrLu
_chemical_formula_sum 'Tb2 Pr1 Lu1'
_cell_length_a 5.034
_cell_length_b 5.034
_cell_length_c 5.089
_cell_angle_alpha 90.00
_cell_angle_beta 90.00
_cell_angle_gamma 90.00
_space_group_name_H-M_alt 'P 4/m m m'
_space_group_IT_number 123
_space_group_name_Hall '-P 4 2'
loop_
_atom_site_label
_atom_site_fract_x
_atom_site_fract_y
_atom_site_fract_z
Tb1 0.000 0.500 0.000
Pr1 0.000 0.000 0.500
Lu1 0.500 0.500 0.500
# Polymorph energy (0 for the lowest one), meV per atom: 0

---

# 6
# CsInBrF (GGA-PBE, optimized geometry)
data_CsInBrF
_chemical_formula_sum 'Cs6 In6 Br6 F6'
_cell_length_a 5.5927
_cell_length_b 5.5927
_cell_length_c 34.1165
_cell_angle_alpha 90.00
_cell_angle_beta 90.00
_cell_angle_gamma 120.00
_space_group_name_H-M_alt 'R -3 m'
_space_group_IT_number 166
_space_group_name_Hall '-R 3 2"'
loop_
_atom_site_label
_atom_site_fract_x
_atom_site_fract_y
_atom_site_fract_z
Cs1 0.0000 0.0000 0.1253
In1 0.0000 0.0000 0.2788
Br1 0.0000 0.0000 0.4016
F1 0.0000 0.0000 0.2109
# Formation energy (no corrections), eV/atom: -1.66

---

# 7
# La4Br3N2 (GGA-PBE, optimized geometry)
data_La4Br3N2
_chemical_formula_sum 'La16 Br12 N8'
_cell_length_a 7.648
_cell_length_b 20.040
_cell_length_c 7.574
_cell_angle_alpha 90.00
_cell_angle_beta 90.00
_cell_angle_gamma 90.00
_space_group_name_H-M_alt 'I m m a'
_space_group_IT_number 74
_space_group_name_Hall '-I 2b 2'
loop_
_atom_site_label
_atom_site_fract_x
_atom_site_fract_y
_atom_site_fract_z
La1 0.000 0.050 0.184
La2 0.250 0.120 0.750
Br1 0.000 0.162 0.451
Br2 0.000 0.250 0.894
N1 0.000 0.065 0.873
# Formation energy (no corrections), eV/atom: -1.50
# Polymorph energy (0 for the lowest one), meV per atom: 19

---

# 8
# PPdRuN (GGA-PBE, optimized geometry)
data_PPdRuN
_chemical_formula_sum 'P1 Pd1 Ru1 N1'
_cell_length_a 2.896
_cell_length_b 3.844
_cell_length_c 5.311
_cell_angle_alpha 94.43
_cell_angle_beta 91.06
_cell_angle_gamma 111.04
_space_group_name_H-M_alt 'P 1'
_space_group_IT_number 1
_space_group_name_Hall 'P 1'
loop_
_atom_site_label
_atom_site_fract_x
_atom_site_fract_y
_atom_site_fract_z
P1 0.000 0.000 0.000
Pd1 0.436 0.849 0.313
Ru1 0.251 0.517 0.790
N1 0.680 0.384 0.540
# Formation energy (no corrections), eV/atom: 0.17
# Polymorph energy (0 for the lowest one), meV per atom: 106

---

Computed calculated volume, in the same sequence as the records: 1296.8, 160.7, 1958.6, 53.7, 129.0, 924.1, 1160.9, 54.9 Å³ per cell.
Computed E, in the same sequence as the records: -28.29, -55.58, -56.45, -14.17, -18.47, -82.62, -219.52, -27.51 eV per cell.